A geometry-optimized Pa2As3Ru structure, computed with PBE.

Cell: 4.059 5.782 6.530 Å, 116.28 108.11 90.00°
Fractional positions:
1 As 0.000 0.000 0.000
2 As 0.640 0.640 0.280
3 As 0.360 0.360 0.720
4 Pa 0.676 0.176 0.351
5 Pa 0.324 0.824 0.649
6 Ru 0.000 0.500 0.000

Values from the calculation:
Magnetization   0.0 Bohr magnetons per cell
DFT formation energy   -60.0 kJ per mole of atoms
Crystal system   orthorhombic
SG   Immm (71)